(1)
{"formula": "MnFePb2I", "functional": "PBE", "state": "optimized geometry", "lattice": [[5.1487, 0.0000, 0.0000], [0.0000, 5.1487, 0.0000], [0.0000, 0.0000, 4.9890]], "species": ["Mn", "Fe", "Pb", "Pb", "I"], "frac_coords": [[0.0000, 0.0000, 0.0000], [0.0000, 0.0000, 0.5000], [0.0000, 0.5000, 0.5000], [0.5000, 0.0000, 0.5000], [0.5000, 0.5000, 0.0000]], "density_g_cm3": 8.187, "dos_ef_per_ev_atom": 0.521, "magmom_total_mub_per_fu": 5.4, "energy_ev_per_atom": -4.90, "space_group": "P4/mmm (123)"}



(2)
{"formula": "Na12Ag6Pt", "functional": "PBE", "state": "optimized geometry", "lattice": [[5.4378, 3.1395, 4.6390], [-5.4378, 3.1395, 4.6390], [0.0000, -6.2791, 4.6390]], "species": ["Na", "Na", "Na", "Na", "Na", "Na", "Na", "Na", "Na", "Na", "Na", "Na", "Ag", "Ag", "Ag", "Ag", "Ag", "Ag", "Pt"], "frac_coords": [[0.0313, 0.9260, 0.3096], [0.0740, 0.6904, 0.9687], [0.1327, 0.4750, 0.3571], [0.3096, 0.0313, 0.9260], [0.3571, 0.1327, 0.4750], [0.4750, 0.3571, 0.1327], [0.5250, 0.6429, 0.8673], [0.6429, 0.8673, 0.5250], [0.6904, 0.9687, 0.0740], [0.8673, 0.5250, 0.6429], [0.9260, 0.3096, 0.0313], [0.9687, 0.0740, 0.6904], [0.2470, 0.7499, 0.6026], [0.2501, 0.3974, 0.7530], [0.3974, 0.7530, 0.2501], [0.6026, 0.2470, 0.7499], [0.7499, 0.6026, 0.2470], [0.7530, 0.2501, 0.3974], [0.5000, 0.5000, 0.5000]], "density_g_cm3": 3.907, "dos_ef_per_ev_atom": 0.295, "magmom_total_mub_per_fu": 0.0, "energy_ev_per_atom": -2.09, "ef_ev_per_atom": -0.0341, "space_group": "R-3 (148)"}



(3)
{"formula": "Hf6Sn3Hg", "functional": "PBE", "state": "optimized geometry", "lattice": [[4.4553, -7.3429, 0.0000], [4.4553, 7.3429, 0.0000], [0.0000, 0.0000, 7.1818]], "species": ["Hf", "Hf", "Hf", "Hf", "Hf", "Hf", "Hf", "Hf", "Hf", "Hf", "Hf", "Hf", "Sn", "Sn", "Sn", "Sn", "Sn", "Sn", "Hg", "Hg"], "frac_coords": [[0.0240, 0.5774, 0.5126], [0.0458, 0.9542, 0.5000], [0.2334, 0.3912, 0.2972], [0.2604, 0.7396, 0.1979], [0.3912, 0.2334, 0.7972], [0.4226, 0.9760, 0.5126], [0.5774, 0.0240, 0.0126], [0.6088, 0.7666, 0.2972], [0.7396, 0.2604, 0.6979], [0.7666, 0.6088, 0.7972], [0.9542, 0.0458, 0.0000], [0.9760, 0.4226, 0.0126], [0.1040, 0.3012, 0.6792], [0.3012, 0.1040, 0.1792], [0.4136, 0.5864, 0.9372], [0.5864, 0.4136, 0.4372], [0.6988, 0.8960, 0.6792], [0.8960, 0.6988, 0.1792], [0.1689, 0.8311, 0.8310], [0.8311, 0.1689, 0.3310]], "density_g_cm3": 11.504, "dos_ef_per_ev_atom": 0.746, "magmom_total_mub_per_fu": 0.0, "energy_ev_per_atom": -7.27, "ef_ev_per_atom": -0.0700, "space_group": "Cmc2_1 (36)"}